Record 1
{
  "formula": "PmBe2Au5",
  "functional": "PBE-GGA",
  "state": "optimized geometry",
  "sg": "I4/mmm (139)",
  "lattice_angstrom": [[4.205, 0.000, -1.185], [-0.334, 4.192, -1.185], [-0.059, -0.064, 7.841]],
  "species": ["Pm", "Be", "Be", "Au", "Au", "Au", "Au", "Au"],
  "fractional_positions": [[0.500, 0.500, 0.000], [0.244, 0.244, 0.488], [0.756, 0.756, 0.512], [0.153, 0.653, 0.306], [0.653, 0.153, 0.306], [0.347, 0.847, 0.694], [0.847, 0.347, 0.694], [0.000, 0.000, 0.000]]
}

Record 2
{
  "formula": "PmSmCoAu",
  "functional": "PBE-GGA",
  "state": "optimized geometry",
  "sg": "F-43m (216)",
  "lattice_angstrom": [[-2.371, -0.150, -4.462], [-4.222, -2.730, -0.528], [-4.455, 2.320, -0.574]],
  "species": ["Co", "Au", "Sm", "Pm"],
  "fractional_positions": [[0.500, 0.500, 0.500], [0.000, 0.000, 0.000], [0.250, 0.250, 0.250], [0.750, 0.750, 0.750]]
}

Record 3
{
  "formula": "LiP2WAu",
  "functional": "PBE-GGA",
  "state": "optimized geometry",
  "sg": "P4/mmm (123)",
  "lattice_angstrom": [[-1.840, 1.601, -3.954], [-1.162, -4.920, -1.451], [-4.141, 0.366, 2.075]],
  "species": ["P", "P", "Au", "W", "Li"],
  "fractional_positions": [[0.000, 0.000, 0.500], [0.500, 0.000, 0.000], [0.000, 0.500, 0.000], [0.000, 0.000, 0.000], [0.500, 0.500, 0.500]]
}

Record 4
{
  "formula": "SrSmIn2",
  "functional": "PBE-GGA",
  "state": "optimized geometry",
  "sg": "P4/mmm (123)",
  "lattice_angstrom": [[-2.761, 1.864, 2.072], [1.874, -0.916, 3.322], [4.210, 6.796, -0.501]],
  "species": ["Sr", "Sm", "In", "In"],
  "fractional_positions": [[0.500, 0.500, 0.500], [0.500, 0.500, 0.000], [0.000, 0.000, 0.770], [0.000, 0.000, 0.230]]
}

Number 1: DFT total energy -31.13 eV/f.u., energy of formation -0.32 eV per atom, magnetic moment 0.0 Bohr magnetons per cell. Number 2: DFT total energy -21.22 eV/f.u., energy of formation -0.34 eV per atom, magnetic moment 0.5 Bohr magnetons per cell. Number 3: DFT total energy -27.96 eV/f.u., energy of formation 0.20 eV per atom, magnetic moment 0.0 Bohr magnetons per cell. Number 4: DFT total energy -13.68 eV/f.u., energy of formation -0.45 eV per atom, magnetic moment 0.0 Bohr magnetons per cell.